# 1
Here is K2UTlBr8 after structural relaxation from Alexandria via LeMat-Bulk. Energies are from PBE-GGA.

Computed properties:
Energy relative to the elements, uncorrected ... -1.30 eV per atom

a b c (Å): 7.6131 7.0372 9.9484
angles (deg): 90.00 89.93 92.21
Each line ends with the local moment (μB).
Sites, in units of the cell vectors:
1 Br 0.8624 0.2179 0.1949  -0.04
2 Br 0.1376 0.7821 0.8051  -0.04
3 Br 0.2998 0.2266 0.0007  -0.03
4 Br 0.8638 0.2193 0.8055  -0.04
5 Br 0.7002 0.7734 0.9993  -0.03
6 Br 0.3102 0.2892 0.4996  -0.01
7 Br 0.1362 0.7807 0.1945  -0.04
8 Br 0.6898 0.7108 0.5004  -0.01
9 Tl 0.0000 0.0000 0.5000  -0.01
10 K 0.4997 0.4989 0.7403  0.00
11 K 0.5003 0.5011 0.2597  0.00
12 U 0.0000 0.0000 0.0000  1.38

***

# 2
Here is H6S3Cl after structural relaxation from Alexandria via LeMat-Bulk. Energies are from PBE-GGA.

a b c (Å): 4.4938 6.5770 6.5770
angles (deg): 114.97 103.16 103.16
Each line ends with the local moment (μB).
Sites, in units of the cell vectors:
1 H 0.0899 0.5840 0.0000  0.00
2 H 0.9893 0.0000 0.2707  0.00
3 H 0.7187 0.7293 0.7293  0.00
4 H 0.5059 0.4160 0.4160  0.00
5 H 0.0899 0.0000 0.5840  0.00
6 H 0.9893 0.2707 0.0000  0.00
7 S 0.8324 0.0000 0.4287  0.21
8 S 0.4037 0.5713 0.5713  0.21
9 S 0.8324 0.4287 0.0000  0.21
10 Cl 0.2093 0.0000 0.0000  0.03

***

# 3
Here is MnV2W after structural relaxation from Alexandria via LeMat-Bulk. Energies are from PBE-GGA.

a b c (Å): 2.9879 2.9879 6.0058
angles (deg): 90.00 90.00 90.00
Sites, in units of the cell vectors:
1 V 0.0000 0.0000 0.7637
2 V 0.0000 0.0000 0.2363
3 Mn 0.5000 0.5000 0.0000
4 W 0.5000 0.5000 0.5000

***

# 4
Here is TlAgPb after structural relaxation from Alexandria via LeMat-Bulk. Energies are from PBE-GGA.

a b c (Å): 7.4440 3.3574 12.7092
angles (deg): 90.00 90.00 90.00
Sites, in units of the cell vectors:
1 Tl 0.8709 0.2500 0.4018
2 Tl 0.6291 0.7500 0.9018
3 Tl 0.3709 0.2500 0.0982
4 Tl 0.1291 0.7500 0.5982
5 Ag 0.1197 0.7500 0.2502
6 Ag 0.6197 0.7500 0.2498
7 Ag 0.8803 0.2500 0.7498
8 Ag 0.3803 0.2500 0.7502
9 Pb 0.8704 0.2500 0.1037
10 Pb 0.6296 0.7500 0.6037
11 Pb 0.1296 0.7500 0.8963
12 Pb 0.3704 0.2500 0.3963

***

# 5
Here is PuUCo2 after structural relaxation from Alexandria via LeMat-Bulk. Energies are from PBE-GGA.

a b c (Å): 3.2520 3.2520 6.6956
angles (deg): 90.00 90.00 90.00
Each line ends with the local moment (μB).
Sites, in units of the cell vectors:
1 Co 0.0000 0.0000 0.1985  -0.28
2 Co 0.0000 0.0000 0.8015  -0.28
3 U 0.5000 0.5000 0.0000  0.77
4 Pu 0.5000 0.5000 0.5000  5.30

***

# 6
Here is YAg2Se after structural relaxation from Alexandria via LeMat-Bulk. Energies are from PBE-GGA.

Computed properties:
Energy relative to the elements, uncorrected ... -0.61 eV per atom

a b c (Å): 4.0174 4.0179 5.4275
angles (deg): 90.00 90.00 90.00
Sites, in units of the cell vectors:
1 Ag 0.0000 0.0000 0.0000
2 Ag 0.5000 0.5000 0.0000
3 Y 0.0000 0.5000 0.5000
4 Se 0.5000 0.0000 0.5000

***

Number 1: total magnetization 0.094 μB per atom, electronic total energy -44.9 eV per cell. Number 2: total magnetization 0.101 μB per atom, electronic total energy -35.5 eV per cell. Number 3: total magnetization 0.000 μB per atom, electronic total energy -40.9 eV per cell. Number 4: total magnetization 0.000 μB per atom, electronic total energy -34.7 eV per cell. Number 5: total magnetization 1.452 μB per atom, electronic total energy -39.8 eV per cell. Number 6: total magnetization 0.000 μB per atom, electronic total energy -18.1 eV per cell.